Record 1
The following is a DFT calculation (PBE) of Tl2PW after structural relaxation.

## Properties
The calculation puts the energy relative to the lowest polymorph listed for this composition at 822.5 meV per atom. The value obtained for the final energy is -4.7358 eV per atom.

Cell lengths 10.4501, 10.4501, 10.4501 Å; angles 16.81, 16.81, 16.81 degrees
Closest atoms and distances in Å follow each position.
Fractional coordinates of all 4 atoms:
Tl 0.7517 0.7517 0.7517  6 Tl 3.05, 3 W 3.08, 3 P 3.17
Tl 0.2483 0.2483 0.2483  6 Tl 3.05, 3 W 3.08, 3 P 3.17
P 0.0000 0.0000 0.0000  6 P 3.05, 6 Tl 3.17
W 0.5000 0.5000 0.5000  6 W 3.05, 6 Tl 3.08


Record 2
The following is a DFT calculation (PBE) of Y2InGa2Rh5 after structural relaxation.

## Properties
The value obtained for the final energy is -6.6255 eV per atom.

Cell lengths 3.5863, 9.8771, 9.8771 Å; angles 90.00, 90.00, 90.00 degrees
Closest atoms and distances in Å follow each position.
Fractional coordinates of all 20 atoms:
Y 0.0000 0.6745 0.1745  3 Ga 2.82-2.99, 6 Rh 3.03-3.13
Y 0.0000 0.3255 0.8255  3 Ga 2.82-2.99, 6 Rh 3.03-3.13
Y 0.0000 0.1745 0.3255  3 Ga 2.82-2.99, 6 Rh 3.03-3.13
Y 0.0000 0.8255 0.6745  3 Ga 2.82-2.99, 6 Rh 3.03-3.13
In 0.0000 0.0000 0.0000  8 Rh 2.81
In 0.0000 0.5000 0.5000  8 Rh 2.81
Ga 0.0000 0.1236 0.6236  6 Rh 2.49-2.50
Ga 0.0000 0.8764 0.3764  6 Rh 2.49-2.50
Ga 0.0000 0.6236 0.8764  6 Rh 2.49-2.50
Ga 0.0000 0.3764 0.1236  6 Rh 2.49-2.50
Rh 0.5000 0.2086 0.0682  2 Ga 2.50
Rh 0.5000 0.7914 0.9318  2 Ga 2.50
Rh 0.5000 0.0682 0.7914  2 Ga 2.50
Rh 0.5000 0.7086 0.4318  2 Ga 2.50
Rh 0.5000 0.9318 0.2086  2 Ga 2.50
Rh 0.5000 0.2914 0.5682  2 Ga 2.50
Rh 0.5000 0.5682 0.7086  2 Ga 2.50
Rh 0.5000 0.4318 0.2914  2 Ga 2.50
Rh 0.5000 0.5000 0.0000  4 Ga 2.49
Rh 0.5000 0.0000 0.5000  4 Ga 2.49


no.,ΔE_f (eV/atom)
1,1.04
2,-0.78